(1)
Density functional theory data (PBE) for crystalline Na3Tm3MnS8 at its relaxed geometry.

Calculated values
SG = No. 166
size of the total moment = 0.20 μB/atom
total energy = -5.508 eV per atom
uncorrected formation energy = -23.1 eV per formula unit

Structure (extended XYZ):
```
15
Lattice="7.6541 0.0000 0.0000 -3.8271 6.6297 -0.0256 0.0000 -4.3970 6.7666" Properties=species:S:1:pos:R:3 pbc="T T T"
Tm 3.8271 -2.1985 3.3833
S 0.0000 -0.1956 4.7701
S 3.8271 0.0174 4.8944
S 2.0982 3.4384 4.7556
Tm 1.9135 1.1164 3.3705
S 1.7288 -1.2057 1.9853
S 0.0000 2.2154 1.8466
Na -1.9135 3.3149 -0.0128
S 3.8271 2.4284 1.9709
Tm -1.9135 1.1164 3.3705
Na 1.9135 3.3149 -0.0128
S -2.0982 3.4384 4.7556
Na 0.0000 0.0000 0.0000
Mn 0.0000 -2.1985 3.3833
S 5.9253 -1.2057 1.9853
```

***

(2)
Density functional theory data (PBE) for crystalline YHf2ScH at its relaxed geometry.

Calculated values
SG = No. 123
size of the total moment = 0.00 μB/atom
total energy = -7.229 eV per atom
ΔE to the lowest computed polymorph = 2 kJ/mol of formula units

Structure (extended XYZ):
```
5
Lattice="4.5538 0.0000 0.0000 0.0000 4.5538 0.0000 0.0000 0.0000 4.7458" Properties=species:S:1:pos:R:3 pbc="T T T"
Hf 0.0000 2.2769 0.0000
Y 2.2769 2.2769 2.3729
H 0.0000 0.0000 0.0000
Sc 0.0000 0.0000 2.3729
Hf 2.2769 0.0000 0.0000
```

***

(3)
Density functional theory data (PBE) for crystalline La4Tb5 at its relaxed geometry.

Calculated values
SG = No. 12
size of the total moment = 0.00 μB/atom
total energy = -4.737 eV per atom
ΔE_f = 0.23 eV/f.u.

Structure (extended XYZ):
```
9
Lattice="-1.4906 3.1784 1.0254 -6.1589 1.5593 -7.2304 -5.3341 -2.8074 7.5038" Properties=species:S:1:pos:R:3 pbc="T T T"
Tb -5.3366 -2.7941 7.4588
Tb -7.8398 -1.2082 5.4390
Tb -5.8840 0.1037 -2.3190
La -10.4235 0.3517 3.3778
La -8.1691 0.2267 0.5136
Tb -5.6065 -1.3652 2.6375
Tb -4.5939 0.2273 5.6827
La -2.2840 0.1171 2.8526
La -4.8156 1.7095 0.7653
```